Record 1
Crystalline SnSb2Au4 at its relaxed geometry. Source: Alexandria via LeMat-Bulk, functional PBE.

```
SnSb2Au4
1.0
-5.5978 -3.5915 -2.8464
2.0192 -5.6694 3.1825
-0.4288 7.1114 5.6590
Sn Au Sb
2 8 4
direct
0.2500 0.6642 0.0000
0.7500 0.3358 0.0000
0.5205 0.1172 0.1810
0.2380 0.2197 0.7943
0.9795 0.9362 0.8190
0.0205 0.0638 0.1810
0.7380 0.5747 0.7943
0.4795 0.8828 0.8190
0.7620 0.7803 0.2057
0.2620 0.4253 0.2057
0.7790 0.5840 0.4296
0.2790 0.8457 0.4296
0.2210 0.4160 0.5704
0.7210 0.1543 0.5704
```

Output
Raw formation energy   -0.048 eV/atom
Space group   No. 15


Record 2
Crystalline AgSn4Pt at its relaxed geometry. Source: Alexandria via LeMat-Bulk, functional PBE.

```
AgSn4Pt
1.0
5.6276 0.0000 0.0000
0.0000 5.6276 0.0000
-2.8138 -2.8138 4.4881
Sn Ag Pt
4 1 1
direct
0.1942 0.1942 0.3884
0.5634 0.0634 0.1268
0.8058 0.8058 0.6116
0.9366 0.4366 0.8732
0.2500 0.7500 0.5000
0.5000 0.5000 0.0000
```

Output
Space group   No. 119
DFT total energy   -0.1555 Ha/atom